1.
{
  "formula": "K2CrW",
  "functional": "GGA-PBE",
  "state": "relaxed",
  "mass_density_g_cm3": 5.5,
  "cell": [[-1.994, -0.014, -6.346], [0.636, -4.675, -4.688], [-1.774, 1.235, 6.290]],
  "species": ["Cr", "K", "K", "W"],
  "fractional_positions": [[0.750, 0.250, 0.500], [0.000, 0.000, 0.000], [0.500, 0.500, 0.000], [0.250, 0.750, 0.500]]
}



2.
{
  "formula": "K2CrW",
  "functional": "GGA-PBE",
  "state": "relaxed",
  "mass_density_g_cm3": 5.3,
  "cell": [[6.689, 0.164, 0.000], [-4.461, 4.987, 0.000], [0.000, 0.000, 2.863]],
  "species": ["Cr", "K", "K", "W"],
  "fractional_positions": [[0.000, 0.500, 0.500], [0.000, 0.000, 0.000], [0.500, 0.500, 0.000], [0.500, 0.000, 0.500]]
}



Energy above the most stable structure, in meV/atom: 1 25; 2 0



1.
{
  "formula": "K2CrW",
  "functional": "GGA-PBE",
  "state": "relaxed",
  "mass_density_g_cm3": 5.1,
  "cell": [[2.909, 0.000, 0.000], [0.000, 2.909, 0.000], [0.000, 0.000, 12.002]],
  "species": ["Cr", "K", "K", "W"],
  "fractional_positions": [[0.500, 0.500, 0.750], [0.000, 0.000, 0.009], [0.000, 0.000, 0.491], [0.500, 0.500, 0.250]]
}



2.
{
  "formula": "K2CrW",
  "functional": "GGA-PBE",
  "state": "relaxed",
  "mass_density_g_cm3": 3.8,
  "cell": [[-3.903, 3.986, 1.482], [-1.565, 4.059, -3.795], [-5.276, -0.116, -2.339]],
  "species": ["Cr", "K", "K", "W"],
  "fractional_positions": [[0.000, 0.000, 0.000], [0.250, 0.250, 0.250], [0.750, 0.750, 0.750], [0.500, 0.500, 0.500]]
}



Energy above the most stable structure, in meV/atom: 1 0; 2 375



1.
{
  "formula": "K2CrW",
  "functional": "GGA-PBE",
  "state": "relaxed",
  "mass_density_g_cm3": 4.5,
  "cell": [[3.307, 0.000, 0.000], [0.000, 3.288, -0.003], [0.000, 3.262, 10.734]],
  "species": ["Cr", "K", "K", "W"],
  "fractional_positions": [[0.500, 0.832, 0.670], [0.000, 0.079, 0.922], [0.500, 0.173, 0.323], [0.000, 0.415, 0.585]]
}



2.
{
  "formula": "K2CrW",
  "functional": "GGA-PBE",
  "state": "relaxed",
  "mass_density_g_cm3": 4.7,
  "cell": [[-2.115, 3.394, 3.625], [-5.101, 1.681, -0.532], [-3.785, -1.735, 3.434]],
  "species": ["Cr", "K", "K", "W"],
  "fractional_positions": [[0.500, 0.500, 0.500], [0.000, 0.000, 0.000], [0.250, 0.250, 0.250], [0.750, 0.750, 0.750]]
}



Energy above the most stable structure, in meV/atom: 1 0; 2 799



1.
{
  "formula": "KCrW",
  "functional": "GGA-PBE",
  "state": "relaxed",
  "mass_density_g_cm3": 6.6,
  "cell": [[-4.081, -5.105, -3.096], [-2.377, -6.796, 0.678], [1.447, 6.687, 2.343]],
  "species": ["Cr", "K", "W"],
  "fractional_positions": [[0.043, 0.043, 0.000], [0.339, 0.339, 0.000], [0.618, 0.618, 0.000]]
}



2.
{
  "formula": "KCrW",
  "functional": "GGA-PBE",
  "state": "relaxed",
  "mass_density_g_cm3": 6.2,
  "cell": [[4.693, 0.000, 0.000], [2.347, 4.064, 0.000], [2.347, 1.355, 3.832]],
  "species": ["Cr", "K", "W"],
  "fractional_positions": [[0.750, 0.750, 0.750], [0.000, 0.000, 0.000], [0.500, 0.500, 0.500]]
}



3.
{
  "formula": "KCrW",
  "functional": "GGA-PBE",
  "state": "relaxed",
  "mass_density_g_cm3": 4.2,
  "cell": [[5.354, 0.000, 0.000], [2.677, 4.636, 0.000], [2.677, 1.545, 4.371]],
  "species": ["Cr", "K", "W"],
  "fractional_positions": [[0.500, 0.500, 0.500], [0.750, 0.750, 0.750], [0.000, 0.000, 0.000]]
}



Energy above the most stable structure, in meV/atom: 1 0; 2 1108; 3 2078



1.
{
  "formula": "KCrW",
  "functional": "GGA-PBE",
  "state": "relaxed",
  "mass_density_g_cm3": 7.5,
  "cell": [[8.338, -0.029, 0.020], [7.623, 2.790, 0.000], [0.715, -1.087, 2.601]],
  "species": ["Cr", "K", "W"],
  "fractional_positions": [[0.027, 0.027, 0.973], [0.336, 0.336, 0.664], [0.637, 0.637, 0.363]]
}



2.
{
  "formula": "KCrW",
  "functional": "GGA-PBE",
  "state": "relaxed",
  "mass_density_g_cm3": 7.4,
  "cell": [[-0.402, -2.708, 0.997], [0.904, 0.425, -2.737], [7.952, -0.227, 2.590]],
  "species": ["Cr", "K", "W"],
  "fractional_positions": [[0.000, 0.000, 0.955], [0.667, 0.333, 0.336], [0.333, 0.667, 0.710]]
}



Energy above the most stable structure, in meV/atom: 1 0; 2 143



1.
{
  "formula": "KCr3W",
  "functional": "GGA-PBE",
  "state": "relaxed",
  "mass_density_g_cm3": 8.6,
  "cell": [[-4.171, 0.041, 0.220], [-0.223, -1.200, -3.995], [0.024, -4.001, 1.201]],
  "species": ["Cr", "Cr", "Cr", "K", "W"],
  "fractional_positions": [[0.000, 0.500, 0.000], [0.000, 0.000, 0.500], [0.500, 0.000, 0.000], [0.000, 0.000, 0.000], [0.500, 0.500, 0.500]]
}



2.
{
  "formula": "KCr3W",
  "functional": "GGA-PBE",
  "state": "relaxed",
  "mass_density_g_cm3": 5.3,
  "cell": [[-0.285, -1.069, -4.788], [-3.981, -2.752, 0.852], [-2.867, 3.929, -0.706]],
  "species": ["Cr", "Cr", "Cr", "K", "W"],
  "fractional_positions": [[0.000, 0.500, 0.000], [0.000, 0.000, 0.500], [0.500, 0.000, 0.000], [0.500, 0.500, 0.500], [0.000, 0.000, 0.000]]
}



Energy above the most stable structure, in meV/atom: 1 1450; 2 0